1.
PrEr2Hg | GGA-PBE | optimized geometry

Lattice parameters (Å, degrees): 3.6336 3.6336 8.8894 90.00 90.00 90.00
Positions (direct):
Er (0.0000, 0.0000, 0.2140)
Er (0.0000, 0.0000, 0.7860)
Pr (0.5000, 0.5000, 0.5000)
Hg (0.5000, 0.5000, 0.0000)

Summary:
Space group: P4/mmm, No. 123
Formation enthalpy at 0 K in eV/atom: -0.233
Energy in eV per atom: -3.785



2.
PrErHg2 | GGA-PBE | optimized geometry

Lattice parameters (Å, degrees): 5.3529 5.3529 5.3529 60.00 60.00 60.00
Last column: magnetic moment on the atom in μB.
Positions (direct):
Hg (0.2500, 0.2500, 0.2500)  0.02
Hg (0.7500, 0.7500, 0.7500)  0.02
Pr (0.5000, 0.5000, 0.5000)  0.16
Er (0.0000, 0.0000, 0.0000)  0.21

Summary:
Space group: Fm-3m, No. 225
Formation enthalpy at 0 K in eV/atom: -0.458
Energy in eV per atom: -2.944



- Number 1 is which compound?
  PrEr2Hg



- Look up the energy of the first one.
  -3.785 eV per atom



- Number 1 is which compound?
  PrEr2Hg